## DyIn (PBE-GGA)

Data for an optimized crystal structure of DyIn.

The value obtained for the raw total energy is -23.8 eV per cell. As for the theoretical density: 5.54 g/cm³.

The space group is F-43m (No. 216) and the conventional cell measures 6.9278, 6.9278 and 6.9278 Å, with angles of 90.00, 90.00 and 90.00 degrees. The asymmetric unit holds Dy at (0.0000, 0.0000, 0.0000) and In at (0.2500, 0.2500, 0.7500).

***

## DyIn5 (PBE-GGA)

Data for an optimized crystal structure of DyIn5.

The value obtained for the raw total energy is -74.9 eV per cell. As for the theoretical density: 7.78 g/cm³.

The space group is F-43m (No. 216) and the conventional cell measures 8.5681, 8.5681 and 8.5681 Å, with angles of 90.00, 90.00 and 90.00 degrees. The asymmetric unit holds Dy at (0.0000, 0.0000, 0.0000), In at (0.1249, 0.1249, 0.6249) and In at (0.2500, 0.2500, 0.2500).

***

## DyIn (PBE-GGA)

Data for an optimized crystal structure of DyIn.

The value obtained for the raw total energy is -7.9 eV per cell. As for the theoretical density: 8.29 g/cm³.

The space group is P-6m2 (No. 187) and the conventional cell measures 3.5180, 3.5180 and 5.1807 Å, with angles of 90.00, 90.00 and 120.00 degrees. The asymmetric unit holds Dy at (0.0000, 0.0000, 0.0000) and In at (0.6667, 0.3333, 0.5000).

***

## Dy3In5 (PBE-GGA)

Data for an optimized crystal structure of Dy3In5.

The value obtained for the raw total energy is -124.8 eV per cell. As for the theoretical density: 8.59 g/cm³.

The space group is Cmcm (No. 63) and the conventional cell measures 9.8814, 8.0393 and 10.3328 Å, with angles of 90.00, 90.00 and 90.00 degrees. The asymmetric unit holds Dy at (0.0000, 0.1180, 0.2500), Dy at (0.2050, 0.5000, 0.0000), In at (0.0000, 0.1936, 0.5441), In at (0.0000, 0.4952, 0.7500) and In at (0.2181, 0.2107, 0.7500).

***

## DyInIr (PBE-GGA)

Data for an optimized crystal structure of DyInIr.

The value obtained for the raw total energy is -50.3 eV per cell. As for the theoretical density: 12.53 g/cm³.

The space group is P-62m (No. 189) and the conventional cell measures 8.2869, 8.2869 and 3.1384 Å, with angles of 90.00, 90.00 and 120.00 degrees. The asymmetric unit holds Dy at (0.0000, 0.3048, 0.0000), In at (0.0000, 0.0000, 0.5000), In at (0.3333, 0.6667, 0.0000) and Ir at (0.0000, 0.6185, 0.5000).

***

## DyInIr (PBE-GGA)

Data for an optimized crystal structure of DyInIr.

The value obtained for the raw total energy is -52.5 eV per cell. As for the theoretical density: 12.18 g/cm³.

The space group is P-62m (No. 189) and the conventional cell measures 7.1993, 7.1993 and 4.2788 Å, with angles of 90.00, 90.00 and 120.00 degrees. The asymmetric unit holds Dy at (0.0000, 0.5671, 0.0000), In at (0.0000, 0.0000, 0.0000), In at (0.3333, 0.6667, 0.5000) and Ir at (0.0000, 0.2426, 0.5000).

***

## DyInIr (PBE-GGA)

Data for an optimized crystal structure of DyInIr.

The value obtained for the raw total energy is -62.8 eV per cell. As for the theoretical density: 10.31 g/cm³.

The space group is F-43m (No. 216) and the conventional cell measures 6.7121, 6.7121 and 6.7121 Å, with angles of 90.00, 90.00 and 90.00 degrees. The asymmetric unit holds Dy at (0.0000, 0.0000, 0.0000), In at (0.2500, 0.2500, 0.7500) and Ir at (0.2500, 0.2500, 0.2500).

***

## Dy2LuIn3Ir2 (PBE-GGA)

Data for an optimized crystal structure of Dy2LuIn3Ir2.

The value obtained for the raw total energy is -89.7 eV per cell. As for the theoretical density: 11.24 g/cm³.

The space group is Amm2 (No. 38) and the conventional cell measures 3.6380, 13.1123 and 7.6140 Å, with angles of 90.00, 90.00 and 90.00 degrees. The asymmetric unit holds Dy at (0.0000, 0.2109, 0.0000), Lu at (0.0000, 0.0000, 0.3662), In at (0.5000, 0.0000, 0.0261), In at (0.5000, 0.1165, 0.6708) and Ir at (0.5000, 0.1643, 0.2907).

***

## DyLu2In3Ir2 (PBE-GGA)

Data for an optimized crystal structure of DyLu2In3Ir2.

The value obtained for the raw total energy is -89.7 eV per cell. As for the theoretical density: 11.51 g/cm³.

The space group is Amm2 (No. 38) and the conventional cell measures 3.5977, 13.1645 and 7.5615 Å, with angles of 90.00, 90.00 and 90.00 degrees. The asymmetric unit holds Dy at (0.0000, 0.0000, 0.0000), Lu at (0.0000, 0.2114, 0.6331), In at (0.5000, 0.0000, 0.6548), In at (0.5000, 0.1186, 0.3050) and Ir at (0.5000, 0.1688, 0.9203).

***

## Dy2MgInIr4 (PBE-GGA)

Data for an optimized crystal structure of Dy2MgInIr4.

The value obtained for the raw total energy is -53.1 eV per cell. As for the theoretical density: 14.08 g/cm³.

The space group is P4/mmm (No. 123) and the conventional cell measures 4.6871, 4.6871 and 6.6209 Å, with angles of 90.00, 90.00 and 90.00 degrees. The asymmetric unit holds Dy at (0.0000, 0.0000, 0.0000), Dy at (0.5000, 0.5000, 0.5000), Mg at (0.0000, 0.0000, 0.5000), In at (0.5000, 0.5000, 0.0000) and Ir at (0.0000, 0.5000, 0.2532).

***

## Dy3Mg3InIr2 (PBE-GGA)

Data for an optimized crystal structure of Dy3Mg3InIr2.

The value obtained for the raw total energy is -43.4 eV per cell. As for the theoretical density: 8.85 g/cm³.

The space group is P-62m (No. 189) and the conventional cell measures 7.3624, 7.3624 and 4.2351 Å, with angles of 90.00, 90.00 and 120.00 degrees. The asymmetric unit holds Dy at (0.0000, 0.5711, 0.0000), Mg at (0.0000, 0.2582, 0.5000), In at (0.0000, 0.0000, 0.0000) and Ir at (0.3333, 0.6667, 0.5000).

***

## NdDyIn2Ir4 (PBE-GGA)

Data for an optimized crystal structure of NdDyIn2Ir4.

The value obtained for the raw total energy is -53.2 eV per cell. As for the theoretical density: 13.23 g/cm³.

The space group is P-6m2 (No. 187) and the conventional cell measures 4.5860, 4.5860 and 8.9918 Å, with angles of 90.00, 90.00 and 120.00 degrees. The asymmetric unit holds Nd at (0.0000, 0.0000, 0.0000), Dy at (0.6667, 0.3333, 0.5000), In at (0.3333, 0.6667, 0.2534), Ir at (0.0000, 0.0000, 0.3565) and Ir at (0.6667, 0.3333, 0.1639).

***

## Dy3In3Ni2Ir (PBE-GGA)

Data for an optimized crystal structure of Dy3In3Ni2Ir.

The value obtained for the raw total energy is -46.9 eV per cell. As for the theoretical density: 10.07 g/cm³.

The space group is P-62m (No. 189) and the conventional cell measures 7.4069, 7.4069 and 3.9624 Å, with angles of 90.00, 90.00 and 120.00 degrees. The asymmetric unit holds Dy at (0.0000, 0.5953, 0.0000), In at (0.0000, 0.2625, 0.5000), Ni at (0.3333, 0.6667, 0.5000) and Ir at (0.0000, 0.0000, 0.0000).

***

## Dy3In3IrPd2 (PBE-GGA)

Data for an optimized crystal structure of Dy3In3IrPd2.

The value obtained for the raw total energy is -48.1 eV per cell. As for the theoretical density: 10.40 g/cm³.

The space group is P-62m (No. 189) and the conventional cell measures 7.6251, 7.6251 and 3.9208 Å, with angles of 90.00, 90.00 and 120.00 degrees. The asymmetric unit holds Dy at (0.0000, 0.6007, 0.0000), In at (0.0000, 0.2586, 0.5000), Ir at (0.0000, 0.0000, 0.0000) and Pd at (0.3333, 0.6667, 0.5000).

***

## Dy3In3Ir2Pd (PBE-GGA)

Data for an optimized crystal structure of Dy3In3Ir2Pd.

The value obtained for the raw total energy is -51.7 eV per cell. As for the theoretical density: 11.30 g/cm³.

The space group is P-62m (No. 189) and the conventional cell measures 7.5930, 7.5930 and 3.8922 Å, with angles of 90.00, 90.00 and 120.00 degrees. The asymmetric unit holds Dy at (0.0000, 0.5891, 0.0000), In at (0.0000, 0.2592, 0.5000), Ir at (0.3333, 0.6667, 0.5000) and Pd at (0.0000, 0.0000, 0.0000).

***

## Dy3InSn2Ir2Pd (PBE-GGA)

Data for an optimized crystal structure of Dy3InSn2Ir2Pd.

The value obtained for the raw total energy is -109.8 eV per cell. As for the theoretical density: 11.44 g/cm³.

The space group is Amm2 (No. 38) and the conventional cell measures 3.8611, 13.1679 and 7.5966 Å, with angles of 90.00, 90.00 and 90.00 degrees. The asymmetric unit holds Dy at (0.0000, 0.0000, 0.0000), Dy at (0.0000, 0.2039, 0.3822), In at (0.5000, 0.0000, 0.3261), Sn at (0.5000, 0.1324, 0.7196), Ir at (0.5000, 0.1677, 0.0863) and Pd at (0.0000, 0.0000, 0.5946).

***

## TbDy2In3Ir2Pd (PBE-GGA)

Data for an optimized crystal structure of TbDy2In3Ir2Pd.

The value obtained for the raw total energy is -103.4 eV per cell. As for the theoretical density: 11.26 g/cm³.

The space group is Amm2 (No. 38) and the conventional cell measures 3.8787, 13.1985 and 7.6002 Å, with angles of 90.00, 90.00 and 90.00 degrees. The asymmetric unit holds Tb at (0.0000, 0.0000, 0.0000), Dy at (0.0000, 0.2055, 0.6173), In at (0.5000, 0.0000, 0.6708), In at (0.5000, 0.1299, 0.2817), Ir at (0.5000, 0.1671, 0.9111) and Pd at (0.0000, 0.0000, 0.4116).

***

## Dy2YIn3Ir2Pd (PBE-GGA)

Data for an optimized crystal structure of Dy2YIn3Ir2Pd.

The value obtained for the raw total energy is -107.1 eV per cell. As for the theoretical density: 10.67 g/cm³.

The space group is Amm2 (No. 38) and the conventional cell measures 3.8799, 13.2284 and 7.5771 Å, with angles of 90.00, 90.00 and 90.00 degrees. The asymmetric unit holds Dy at (0.0000, 0.2058, 0.0000), Y at (0.0000, 0.0000, 0.3836), In at (0.5000, 0.0000, 0.0562), In at (0.5000, 0.1287, 0.6636), Ir at (0.5000, 0.1692, 0.2930) and Pd at (0.0000, 0.0000, 0.7972).

***

## PrDyIn2Ir4 (PBE-GGA)

Data for an optimized crystal structure of PrDyIn2Ir4.

The value obtained for the raw total energy is -53.2 eV per cell. As for the theoretical density: 13.12 g/cm³.

The space group is P-6m2 (No. 187) and the conventional cell measures 4.5877, 4.5877 and 9.0424 Å, with angles of 90.00, 90.00 and 120.00 degrees. The asymmetric unit holds Pr at (0.0000, 0.0000, 0.0000), Dy at (0.3333, 0.6667, 0.5000), In at (0.6667, 0.3333, 0.2549), Ir at (0.0000, 0.0000, 0.3573) and Ir at (0.3333, 0.6667, 0.1693).

***

## Dy3In3Ir2Pt (PBE-GGA)

Data for an optimized crystal structure of Dy3In3Ir2Pt.

The value obtained for the raw total energy is -53.0 eV per cell. As for the theoretical density: 12.08 g/cm³.

The space group is P-62m (No. 189) and the conventional cell measures 7.5794, 7.5794 and 3.8984 Å, with angles of 90.00, 90.00 and 120.00 degrees. The asymmetric unit holds Dy at (0.0000, 0.5928, 0.0000), In at (0.0000, 0.2620, 0.5000), Ir at (0.3333, 0.6667, 0.5000) and Pt at (0.0000, 0.0000, 0.0000).